A plane-wave DFT calculation with PBE was carried out for a relaxed structure of SeSI2O.

Unit cell a=5.7541 b=5.7541 c=3.5641 alpha=90.00 beta=90.00 gamma=90.00
Fractional positions:
Se  0.0000  0.0000  0.0000
S  0.5000  0.5000  0.5000
I  0.0000  0.5000  0.5000
I  0.5000  0.0000  0.5000
O  0.5000  0.5000  0.0000

The calculation puts the raw total energy at -2.69 eV/atom. Its total magnetization is 0.000 μB/cell. The calculation puts the offset from the most stable computed form at 0 meV/atom. Its symmetry is P4/mmm (123).

=====

A plane-wave DFT calculation with PBE was carried out for a relaxed structure of Ag3Te.

Unit cell a=4.7917 b=6.0791 c=5.7641 alpha=90.00 beta=90.00 gamma=90.00
Fractional positions:
Ag  0.2500  0.0038  0.1491
Ag  0.2500  0.4962  0.1491
Ag  0.2500  0.7500  0.7067
Ag  0.7500  0.2500  0.2933
Ag  0.7500  0.5038  0.8509
Ag  0.7500  0.9962  0.8509
Te  0.2500  0.2500  0.6529
Te  0.7500  0.7500  0.3471

The calculation puts the raw total energy at -2.86 eV/atom. Its total magnetization is 0.000 μB/cell. The calculation puts the offset from the most stable computed form at 37 meV/atom. Its symmetry is Pmmn (59).

=====

A plane-wave DFT calculation with PBE was carried out for a relaxed structure of KTlGeRh.

Unit cell a=4.2927 b=4.2927 c=12.5980 alpha=90.00 beta=90.00 gamma=90.00
Fractional positions:
K  0.2500  0.2500  0.2334
K  0.7500  0.7500  0.7666
Tl  0.2500  0.7500  0.5000
Tl  0.7500  0.2500  0.5000
Ge  0.2500  0.2500  0.9044
Ge  0.7500  0.7500  0.0956
Rh  0.2500  0.7500  0.0000
Rh  0.7500  0.2500  0.0000

The calculation puts the raw total energy at -4.13 eV/atom. Its total magnetization is 0.000 μB/cell. The value obtained for the calculated formation energy is -272 meV/atom. Its symmetry is P4/nmm (129).

=====

A plane-wave DFT calculation with PBE was carried out for a relaxed structure of Re2Os.

Unit cell a=6.0288 b=6.0288 c=6.0288 alpha=90.00 beta=90.00 gamma=90.00
Fractional positions:
Re  0.1140  0.1140  0.1140
Re  0.1140  0.3860  0.6140
Re  0.3860  0.6140  0.1140
Re  0.3860  0.8860  0.6140
Re  0.6140  0.1140  0.3860
Re  0.6140  0.3860  0.8860
Re  0.8860  0.6140  0.3860
Re  0.8860  0.8860  0.8860
Os  0.0000  0.0000  0.5000
Os  0.0000  0.5000  0.0000
Os  0.5000  0.0000  0.0000
Os  0.5000  0.5000  0.5000

The calculation puts the raw total energy at -10.78 eV/atom. Its total magnetization is 0.000 μB/cell. The calculation puts the offset from the most stable computed form at 1334 meV/atom. The value obtained for the calculated formation energy is 1260 meV/atom. Its symmetry is Pa-3 (205).

=====

A plane-wave DFT calculation with PBE was carried out for a relaxed structure of HfTaNb2H.

Unit cell a=4.5654 b=4.5654 c=3.7975 alpha=90.00 beta=90.00 gamma=90.00
Fractional positions:
Hf  0.0000  0.0000  0.0000
Ta  0.5000  0.5000  0.0000
Nb  0.0000  0.5000  0.5000
Nb  0.5000  0.0000  0.5000
H  0.0000  0.0000  0.5000

The calculation puts the raw total energy at -9.03 eV/atom. Its total magnetization is 0.000 μB/cell. The calculation puts the offset from the most stable computed form at 13 meV/atom. Its symmetry is P4/mmm (123).

=====

A plane-wave DFT calculation with PBE was carried out for a relaxed structure of HfTe3W.

Unit cell a=5.2756 b=5.2756 c=5.2756 alpha=90.00 beta=90.00 gamma=90.00
Fractional positions:
Hf  0.0000  0.0000  0.0000
Te  0.0000  0.5000  0.5000
Te  0.5000  0.0000  0.5000
Te  0.5000  0.5000  0.0000
W  0.5000  0.5000  0.5000

The calculation puts the raw total energy at -5.54 eV/atom. Its total magnetization is 0.881 μB/cell. The calculation puts the offset from the most stable computed form at 0 meV/atom. Its symmetry is Pm-3m (221).

=====

A plane-wave DFT calculation with PBE was carried out for a relaxed structure of CaAu2Br.

Unit cell a=4.2127 b=4.2127 c=5.5732 alpha=90.00 beta=90.00 gamma=90.00
Fractional positions:
Ca  0.0000  0.0000  0.0000
Au  0.5000  0.5000  0.2458
Au  0.5000  0.5000  0.7542
Br  0.0000  0.0000  0.5000

The calculation puts the raw total energy at -3.16 eV/atom. Its total magnetization is 0.000 μB/cell. The calculation puts the offset from the most stable computed form at 280 meV/atom. Its symmetry is P4/mmm (123).

=====

A plane-wave DFT calculation with PBE was carried out for a relaxed structure of Sr3Pa5O12.

Unit cell a=12.2973 b=12.2973 c=12.2973 alpha=109.47 beta=109.47 gamma=109.47
Fractional positions:
Sr  0.1250  0.2500  0.3750
Sr  0.1250  0.3750  0.7500
Sr  0.2500  0.3750  0.1250
Sr  0.2500  0.8750  0.6250
Sr  0.3750  0.1250  0.2500
Sr  0.3750  0.7500  0.1250
Sr  0.6250  0.2500  0.8750
Sr  0.6250  0.8750  0.7500
Sr  0.7500  0.1250  0.3750
Sr  0.7500  0.6250  0.8750
Sr  0.8750  0.6250  0.2500
Sr  0.8750  0.7500  0.6250
Pa  0.0000  0.0000  0.0000
Pa  0.0000  0.0000  0.5000
Pa  0.0000  0.5000  0.0000
Pa  0.0000  0.5000  0.5000
Pa  0.1250  0.7500  0.8750
Pa  0.1250  0.8750  0.2500
Pa  0.2500  0.1250  0.8750
Pa  0.2500  0.6250  0.3750
Pa  0.3750  0.2500  0.6250
Pa  0.3750  0.6250  0.7500
Pa  0.5000  0.0000  0.0000
Pa  0.5000  0.0000  0.5000
Pa  0.5000  0.5000  0.0000
Pa  0.5000  0.5000  0.5000
Pa  0.6250  0.3750  0.2500
Pa  0.6250  0.7500  0.3750
Pa  0.7500  0.3750  0.6250
Pa  0.7500  0.8750  0.1250
Pa  0.8750  0.1250  0.7500
Pa  0.8750  0.2500  0.1250
O  0.0275  0.1997  0.1272
O  0.0275  0.3279  0.9003
O  0.0725  0.6997  0.6721
O  0.0725  0.8728  0.4003
O  0.0997  0.6272  0.4275
O  0.0997  0.9725  0.6721
O  0.1272  0.0275  0.1997
O  0.1272  0.5997  0.9275
O  0.1721  0.1997  0.5725
O  0.1721  0.4725  0.5997
O  0.1997  0.1272  0.0275
O  0.1997  0.5725  0.1721
O  0.3003  0.3279  0.9275
O  0.3003  0.4725  0.3728
O  0.3279  0.9003  0.0275
O  0.3279  0.9275  0.3003
O  0.3728  0.3003  0.4725
O  0.3728  0.5725  0.9003
O  0.4003  0.0725  0.8728
O  0.4003  0.8279  0.5275
O  0.4275  0.0997  0.6272
O  0.4275  0.8279  0.8003
O  0.4725  0.3728  0.3003
O  0.4725  0.5997  0.1721
O  0.5275  0.4003  0.8279
O  0.5275  0.6272  0.6997
O  0.5725  0.1721  0.1997
O  0.5725  0.9003  0.3728
O  0.5997  0.1721  0.4725
O  0.5997  0.9275  0.1272
O  0.6272  0.4275  0.0997
O  0.6272  0.6997  0.5275
O  0.6721  0.0725  0.6997
O  0.6721  0.0997  0.9725
O  0.6997  0.5275  0.6272
O  0.6997  0.6721  0.0725
O  0.8003  0.4275  0.8279
O  0.8003  0.8728  0.9725
O  0.8279  0.5275  0.4003
O  0.8279  0.8003  0.4275
O  0.8728  0.4003  0.0725
O  0.8728  0.9725  0.8003
O  0.9003  0.0275  0.3279
O  0.9003  0.3728  0.5725
O  0.9275  0.1272  0.5997
O  0.9275  0.3003  0.3279
O  0.9725  0.6721  0.0997
O  0.9725  0.8003  0.8728

The calculation puts the raw total energy at -8.74 eV/atom. Its total magnetization is 7.594 μB/cell. Its symmetry is Ia-3d (230).

=====

A plane-wave DFT calculation with PBE was carried out for a relaxed structure of LiSnHgPb.

Unit cell a=5.2600 b=5.2600 c=5.2600 alpha=60.00 beta=60.00 gamma=60.00
Fractional positions:
Li  0.0000  0.0000  0.0000
Sn  0.5000  0.5000  0.5000
Hg  0.2500  0.2500  0.2500
Pb  0.7500  0.7500  0.7500

The calculation puts the raw total energy at -2.56 eV/atom. Its total magnetization is 0.000 μB/cell. The value obtained for the calculated formation energy is -75 meV/atom. Its symmetry is F-43m (216).

=====

A plane-wave DFT calculation with PBE was carried out for a relaxed structure of NbP2CS.

Unit cell a=3.9968 b=3.9968 c=4.1783 alpha=90.00 beta=90.00 gamma=90.00
Fractional positions:
Nb  0.0000  0.0000  0.0000
P  0.0000  0.5000  0.5000
P  0.5000  0.0000  0.5000
C  0.5000  0.5000  0.5000
S  0.5000  0.5000  0.0000

The calculation puts the raw total energy at -6.03 eV/atom. Its total magnetization is 0.000 μB/cell. The calculation puts the offset from the most stable computed form at 0 meV/atom. Its symmetry is P4/mmm (123).

=====

A plane-wave DFT calculation with PBE was carried out for a relaxed structure of Np2SnSb2.

Unit cell a=5.0458 b=5.0458 c=12.5905 alpha=90.00 beta=90.00 gamma=120.00
Fractional positions:
Np  0.3333  0.6667  0.1107
Np  0.3333  0.6667  0.3893
Np  0.6667  0.3333  0.6107
Np  0.6667  0.3333  0.8893
Sn  0.0000  0.0000  0.2500
Sn  0.0000  0.0000  0.7500
Sb  0.0000  0.0000  0.0000
Sb  0.0000  0.0000  0.5000
Sb  0.3333  0.6667  0.7500
Sb  0.6667  0.3333  0.2500

The calculation puts the raw total energy at -7.61 eV/atom. Its total magnetization is 17.464 μB/cell. Its symmetry is P6_3/mmc (194).

=====

A plane-wave DFT calculation with PBE was carried out for a relaxed structure of Li2LaCr.

Unit cell a=3.5716 b=3.6062 c=7.1694 alpha=90.00 beta=90.00 gamma=90.00
Fractional positions:
Li  0.0000  0.0000  0.0000
Li  0.5000  0.5000  0.1986
La  0.5000  0.5000  0.6622
Cr  0.0000  0.0000  0.4064

The calculation puts the raw total energy at -4.24 eV/atom. Its total magnetization is 3.468 μB/cell. The calculation puts the offset from the most stable computed form at 0 meV/atom. The value obtained for the calculated formation energy is 352 meV/atom. Its symmetry is Pmm2 (25).

=====

A plane-wave DFT calculation with PBE was carried out for a relaxed structure of AgRhI4.

Unit cell a=6.5097 b=4.0856 c=7.5512 alpha=90.00 beta=91.34 gamma=90.00
Fractional positions:
Ag  0.0000  0.0000  0.0000
Rh  0.0000  0.5000  0.5000
I  0.2266  0.0000  0.6384
I  0.2401  0.5000  0.2100
I  0.7599  0.5000  0.7900
I  0.7734  0.0000  0.3616

The calculation puts the raw total energy at -2.93 eV/atom. Its total magnetization is 0.000 μB/cell. Its symmetry is P2/m (10).